Here is a geometry-optimized KLiF3 structure from Alexandria. Energies are from PBE-GGA.

Output
* ΔE_f (raw): -2087 meV/atom
* Fermi-level density of states: 0.420 states/eV/atom
* energy above the lowest structure with this stoichiometry: 217 meV per atom
* space group: R3m (160)

a = 5.172 Å, b = 5.172 Å, c = 5.172 Å
α = 85.51°, β = 85.51°, γ = 85.51°
Sites, in units of the cell vectors:
1 K 0.572 0.572 0.572
2 Li 0.885 0.885 0.885
3 F 0.673 0.073 0.673
4 F 0.073 0.673 0.673
5 F 0.673 0.673 0.073